Ho6Ag5 | the Alexandria database | PBE-GGA | optimized geometry; V = 278.2 Å³ per cell; M_tot = 0.00 μB/cell; Fermi-level density of states = 6.726 states/eV per cell; calculated total energy = -44.2 eV for the cell shown; ρ = 9.1 g cm⁻³
1.0
4.8609 0.0052 -1.5045
-0.8290 6.6229 -2.6562
0.0556 -0.3663 8.7836
Ho Ag
6 5
direct
0.5000 0.7522 0.0000 Ho
0.5000 0.2478 0.0000 Ho
0.8365 0.0845 0.6730 Ho
0.8365 0.5885 0.6730 Ho
0.1635 0.9155 0.3270 Ho
0.1635 0.4115 0.3270 Ho
0.0000 0.5000 0.0000 Ag
0.6689 0.6689 0.3378 Ag
0.3311 0.3311 0.6622 Ag
0.3308 0.8308 0.6616 Ag
0.6692 0.1692 0.3384 Ag

Re4NiMo | the Alexandria database | PBE-GGA | optimized geometry; V = 94.8 Å³ per cell; M_tot = 0.00 μB/cell; Fermi-level density of states = 6.224 states/eV per cell; calculated total energy = -64.1 eV for the cell shown; ρ = 15.8 g cm⁻³
1.0
0.0000 3.6189 3.6189
3.6189 0.0000 3.6189
3.6189 3.6189 0.0000
Re Ni Mo
4 1 1
direct
0.8783 0.3739 0.3739 Re
0.3739 0.3739 0.8783 Re
0.3739 0.8783 0.3739 Re
0.3739 0.3739 0.3739 Re
0.0000 0.0000 0.0000 Ni
0.7500 0.7500 0.7500 Mo

MgSi2S | the Alexandria database | PBE-GGA | optimized geometry; formation energy without anion corrections = 0.554 eV/atom; V = 69.9 Å³ per cell; M_tot = 0.00 μB/cell; energy above the lowest structure with this stoichiometry = 0.212 eV/atom; Fermi-level density of states = 1.971 states/eV per cell; calculated total energy = -14.4 eV for the cell shown; ρ = 2.7 g cm⁻³
1.0
0.0000 3.2689 3.2689
3.2689 0.0000 3.2689
3.2689 3.2689 0.0000
Mg S Si
1 1 2
direct
0.0000 0.0000 0.0000 Mg
0.5000 0.5000 0.5000 S
0.2500 0.2500 0.2500 Si
0.7500 0.7500 0.7500 Si

CrB2Ir2 | the Alexandria database | PBE-GGA | optimized geometry; V = 60.5 Å³ per cell; M_tot = 0.03 μB/cell; Fermi-level density of states = 3.590 states/eV per cell; calculated total energy = -39.1 eV for the cell shown; ρ = 12.6 g cm⁻³
1.0
3.7383 0.0000 0.0000
0.0000 3.7383 0.0000
1.8692 1.8692 4.3302
Cr B Ir
1 2 2
direct
0.0000 0.0000 0.0000 Cr
0.7500 0.2500 0.5000 B
0.2500 0.7500 0.5000 B
0.3586 0.3586 0.2828 Ir
0.6414 0.6414 0.7172 Ir

Pu6Te3PS2 | the Alexandria database | PBE-GGA | optimized geometry; formation energy without anion corrections = -1.271 eV/atom; V = 314.2 Å³ per cell; M_tot = 10.89 μB/cell; Fermi-level density of states = 59.294 states/eV per cell; calculated total energy = -124.3 eV for the cell shown; ρ = 10.3 g cm⁻³
1.0
-0.7390 6.3873 3.2845
1.2147 -5.9610 3.8889
6.7113 0.9191 -2.9163
Pu Te P S
6 3 1 2
direct
0.9281 0.5957 0.7845 Pu
0.7399 0.7399 0.2164 Pu
0.0719 0.4043 0.2155 Pu
0.5957 0.9281 0.7845 Pu
0.2601 0.2601 0.7836 Pu
0.4043 0.0719 0.2155 Pu
0.1683 0.8317 0.5000 Te
0.8317 0.1683 0.5000 Te
0.5000 0.5000 0.5000 Te
0.0000 0.0000 0.0000 P
0.3320 0.6680 0.0000 S
0.6680 0.3320 0.0000 S

Zr5Ti2N5 | the Alexandria database | PBE-GGA | optimized geometry; formation energy without anion corrections = -1.216 eV/atom; V = 164.5 Å³ per cell; M_tot = 0.00 μB/cell; Fermi-level density of states = 5.429 states/eV per cell; calculated total energy = -114.8 eV for the cell shown; ρ = 6.3 g cm⁻³
1.0
3.1464 0.0000 0.0000
-1.5732 5.2841 -0.1430
0.0000 -2.7863 9.9686
Zr Ti N
5 2 5
direct
0.5000 0.0000 0.5000 Zr
0.6555 0.3110 0.0635 Zr
0.7268 0.4535 0.3652 Zr
0.2732 0.5465 0.6348 Zr
0.3445 0.6890 0.9365 Zr
0.0399 0.0798 0.7940 Ti
0.9601 0.9202 0.2060 Ti
0.1081 0.2163 0.4163 N
0.6765 0.3529 0.8512 N
0.3235 0.6471 0.1488 N
0.8919 0.7837 0.5837 N
0.0000 0.0000 0.0000 N

YSi3Os | the Alexandria database | PBE-GGA | optimized geometry; formation energy without anion corrections = 0.246 eV/atom; V = 103.0 Å³ per cell; M_tot = 0.00 μB/cell; Fermi-level density of states = 4.463 states/eV per cell; calculated total energy = -32.7 eV for the cell shown; ρ = 5.9 g cm⁻³
1.0
-1.5185 -1.6217 -4.1271
-2.7523 -3.0757 2.2213
-3.4768 3.1431 0.0442
Y Si Os
1 3 1
direct
0.5000 0.5000 0.5000 Y
0.0000 0.5000 0.0000 Si
0.0000 0.0000 0.5000 Si
0.5000 0.0000 0.0000 Si
0.0000 0.0000 0.0000 Os

VBiTeSe2 | the Alexandria database | PBE-GGA | optimized geometry; formation energy without anion corrections = 1.200 eV/atom; V = 164.0 Å³ per cell; M_tot = 0.20 μB/cell; Fermi-level density of states = 10.479 states/eV per cell; calculated total energy = -17.1 eV for the cell shown; ρ = 5.5 g cm⁻³
1.0
-4.3090 -1.0211 2.8911
-0.8612 -4.9463 -3.0306
2.9661 -2.6513 3.4844
Te Bi Se V
1 1 2 1
direct
0.0000 0.0000 0.0000 Te
0.0000 0.5000 0.0000 Bi
0.0000 0.0000 0.5000 Se
0.5000 0.0000 0.0000 Se
0.5000 0.5000 0.5000 V

KSiSb | the Alexandria database | PBE-GGA | optimized geometry; formation energy without anion corrections = 0.844 eV/atom; V = 96.5 Å³ per cell; M_tot = 0.00 μB/cell; Fermi-level density of states = 0.359 states/eV per cell; calculated total energy = -8.1 eV for the cell shown; ρ = 3.3 g cm⁻³
1.0
-2.8743 3.5758 2.3371
-0.3528 0.0663 5.1363
2.2590 3.7664 2.6872
K Sb Si
1 1 1
direct
0.7500 0.7500 0.7500 K
0.0000 0.0000 0.0000 Sb
0.5000 0.5000 0.5000 Si